[1]
# BaCa2Cr PBE relaxed
data_BaCa2Cr
_chemical_formula_sum 'Ba1 Ca2 Cr1'
_cell_length_a 3.9331
_cell_length_b 3.9331
_cell_length_c 10.0710
_cell_angle_alpha 90.00
_cell_angle_beta 90.00
_cell_angle_gamma 90.00
_symmetry_space_group_name_H-M 'P 4/m m m'
_symmetry_Int_Tables_number 123
_symmetry_space_group_name_Hall '-P 4 2'
loop_
_atom_site_label
_atom_site_fract_x
_atom_site_fract_y
_atom_site_fract_z
Ba1 0.0000 0.0000 0.0000
Ca1 0.5000 0.5000 0.3184
Cr1 0.0000 0.0000 0.5000
# crystal system = tetragonal
# excess energy over the best structure of this formula in the dataset = 0 meV/atom

***

[2]
# BaCa2Cr PBE relaxed
data_BaCa2Cr
_chemical_formula_sum 'Ba2 Ca4 Cr2'
_cell_length_a 7.2633
_cell_length_b 12.4089
_cell_length_c 3.7841
_cell_angle_alpha 90.00
_cell_angle_beta 115.61
_cell_angle_gamma 90.00
_symmetry_space_group_name_H-M 'C 1 2/m 1'
_symmetry_Int_Tables_number 12
loop_
_symmetry_equiv_pos_as_xyz
'x,y,z'
'-x,-y,-z'
'-x,y,-z'
'x,-y,z'
'x+1/2,y+1/2,z'
'-x+1/2,-y+1/2,-z'
'-x+1/2,y+1/2,-z'
'x+1/2,-y+1/2,z'
loop_
_atom_site_label
_atom_site_fract_x
_atom_site_fract_y
_atom_site_fract_z
Ba1 0.0000 0.0000 0.0000
Ca1 0.2500 0.2500 0.5000
Cr1 0.0000 0.5000 0.0000
# crystal system = monoclinic
# excess energy over the best structure of this formula in the dataset = 156 meV/atom

***

Which of these has the lowest excess energy over the best structure of this formula in the dataset?
number 1

***

excess energy over the best structure of this formula in the dataset of number 1 (BaCa2Cr)?
0 meV/atom